No. 1
# Rb2ZnCd2 | Alexandria | GGA-PBE | relaxed
data_Rb2ZnCd2
_cell_length_a 11.570
_cell_length_b 11.570
_cell_length_c 11.570
_cell_angle_alpha 158.79
_cell_angle_beta 158.79
_cell_angle_gamma 30.18
_space_group_name_H-M_alt 'P 1'
_space_group_IT_number 1
loop_
_space_group_symop_operation_xyz
'x,y,z'
loop_
_atom_site_label
_atom_site_fract_x
_atom_site_fract_y
_atom_site_fract_z
Rb1 0.104 0.104 0.000
Rb2 0.896 0.896 0.000
Zn1 0.500 0.500 0.000
Cd1 0.250 0.750 0.500
Cd2 0.750 0.250 0.500
# DOS(E_F)   1.49 states/eV/cell
# E   -0.90 eV/atom
# Energy above the most stable polymorph in this dataset   111 meV/atom
# ΔE_f   104.7 meV per atom

---

No. 2
# KSr2TlSe4 | Alexandria | GGA-PBE | relaxed
data_KSr2TlSe4
_cell_length_a 8.864
_cell_length_b 8.864
_cell_length_c 8.864
_cell_angle_alpha 119.37
_cell_angle_beta 118.49
_cell_angle_gamma 91.87
_space_group_name_H-M_alt 'P 1'
_space_group_IT_number 1
loop_
_space_group_symop_operation_xyz
'x,y,z'
loop_
_atom_site_label
_atom_site_fract_x
_atom_site_fract_y
_atom_site_fract_z
K1 0.500 0.000 0.000
K2 0.500 0.500 0.500
Sr1 0.000 0.000 0.000
Sr2 0.000 0.000 0.500
Sr3 0.000 0.500 0.000
Sr4 0.500 0.000 0.500
Tl1 0.000 0.500 0.500
Tl2 0.500 0.500 0.000
Se1 0.210 0.721 0.489
Se2 0.245 0.235 0.490
Se3 0.245 0.755 0.010
Se4 0.268 0.279 0.989
Se5 0.732 0.721 0.011
Se6 0.755 0.245 0.990
Se7 0.755 0.765 0.510
Se8 0.790 0.279 0.511
# DOS(E_F)   3.96 states/eV/cell
# E   -3.82 eV/atom
# ΔE_f (raw)   -1.2201 eV/atom

---

No. 3
# BaMg2Tl | Alexandria | GGA-PBE | relaxed
data_BaMg2Tl
_cell_length_a 6.181
_cell_length_b 6.181
_cell_length_c 3.741
_cell_angle_alpha 90.00
_cell_angle_beta 90.00
_cell_angle_gamma 110.43
_space_group_name_H-M_alt 'P 1'
_space_group_IT_number 1
loop_
_space_group_symop_operation_xyz
'x,y,z'
loop_
_atom_site_label
_atom_site_fract_x
_atom_site_fract_y
_atom_site_fract_z
Ba1 0.000 0.000 0.000
Mg1 0.000 0.500 0.500
Mg2 0.500 0.000 0.500
Tl1 0.500 0.500 0.000
# DOS(E_F)   2.79 states/eV/cell
# E   -1.81 eV/atom
# Energy above the most stable polymorph in this dataset   246 meV/atom
# ΔE_f   59.7 meV per atom

---

No. 4
# YBi2PbF | Alexandria | GGA-PBE | relaxed
data_YBi2PbF
_cell_length_a 6.004
_cell_length_b 6.004
_cell_length_c 5.861
_cell_angle_alpha 90.00
_cell_angle_beta 90.00
_cell_angle_gamma 90.00
_space_group_name_H-M_alt 'P 1'
_space_group_IT_number 1
loop_
_space_group_symop_operation_xyz
'x,y,z'
loop_
_atom_site_label
_atom_site_fract_x
_atom_site_fract_y
_atom_site_fract_z
Y1 0.000 0.000 0.000
Bi1 0.000 0.500 0.500
Bi2 0.500 0.000 0.500
Pb1 0.000 0.000 0.500
F1 0.500 0.500 0.000
# DOS(E_F)   4.92 states/eV/cell
# E   -3.68 eV/atom
# ΔE_f (raw)   0.2772 eV/atom

---

No. 5
# Pm2Zn2SbRh5 | Alexandria | GGA-PBE | relaxed
data_Pm2Zn2SbRh5
_cell_length_a 9.803
_cell_length_b 9.803
_cell_length_c 3.678
_cell_angle_alpha 90.00
_cell_angle_beta 90.00
_cell_angle_gamma 90.00
_space_group_name_H-M_alt 'P 1'
_space_group_IT_number 1
loop_
_space_group_symop_operation_xyz
'x,y,z'
loop_
_atom_site_label
_atom_site_fract_x
_atom_site_fract_y
_atom_site_fract_z
Pm1 0.174 0.326 0.000
Pm2 0.326 0.826 0.000
Pm3 0.674 0.174 0.000
Pm4 0.826 0.674 0.000
Zn1 0.123 0.623 0.000
Zn2 0.377 0.123 0.000
Zn3 0.623 0.877 0.000
Zn4 0.877 0.377 0.000
Sb1 0.000 0.000 0.000
Sb2 0.500 0.500 0.000
Rh1 0.000 0.500 0.500
Rh2 0.066 0.794 0.500
Rh3 0.206 0.066 0.500
Rh4 0.294 0.566 0.500
Rh5 0.434 0.294 0.500
Rh6 0.500 0.000 0.500
Rh7 0.566 0.706 0.500
Rh8 0.706 0.434 0.500
Rh9 0.794 0.934 0.500
Rh10 0.934 0.206 0.500
# DOS(E_F)   12.87 states/eV/cell
# E   -5.92 eV/atom
# ΔE_f (raw)   -0.6313 eV/atom

---

No. 6
# Ba2TeBr | Alexandria | GGA-PBE | relaxed
data_Ba2TeBr
_cell_length_a 7.160
_cell_length_b 7.160
_cell_length_c 5.131
_cell_angle_alpha 90.05
_cell_angle_beta 90.05
_cell_angle_gamma 37.26
_space_group_name_H-M_alt 'P 1'
_space_group_IT_number 1
loop_
_space_group_symop_operation_xyz
'x,y,z'
loop_
_atom_site_label
_atom_site_fract_x
_atom_site_fract_y
_atom_site_fract_z
Ba1 0.000 0.000 0.000
Ba2 0.735 0.735 0.499
Te1 0.471 0.471 0.500
Br1 0.239 0.239 0.999
# DOS(E_F)   2.93 states/eV/cell
# E   -3.75 eV/atom
# ΔE_f (raw)   -1.5821 eV/atom
# Energy above the most stable polymorph in this dataset   114 meV/atom

---

No. 7
# Pm2NdDyTl2 | Alexandria | GGA-PBE | relaxed
data_Pm2NdDyTl2
_cell_length_a 5.211
_cell_length_b 10.214
_cell_length_c 6.922
_cell_angle_alpha 90.00
_cell_angle_beta 90.00
_cell_angle_gamma 90.00
_space_group_name_H-M_alt 'P 1'
_space_group_IT_number 1
loop_
_space_group_symop_operation_xyz
'x,y,z'
loop_
_atom_site_label
_atom_site_fract_x
_atom_site_fract_y
_atom_site_fract_z
Pm1 0.000 0.045 0.000
Pm2 0.000 0.955 0.500
Pm3 0.500 0.183 0.277
Pm4 0.500 0.817 0.777
Nd1 0.500 0.456 0.906
Nd2 0.500 0.544 0.406
Dy1 0.000 0.312 0.627
Dy2 0.000 0.688 0.127
Tl1 0.000 0.369 0.168
Tl2 0.000 0.631 0.668
Tl3 0.500 0.140 0.743
Tl4 0.500 0.860 0.243
# DOS(E_F)   13.45 states/eV/cell
# E   -4.21 eV/atom
# ΔE_f   -271.7 meV per atom

---

No. 8
# Sr2AcCuO4 | Alexandria | GGA-PBE | relaxed
data_Sr2AcCuO4
_cell_length_a 6.122
_cell_length_b 3.695
_cell_length_c 6.405
_cell_angle_alpha 90.00
_cell_angle_beta 110.52
_cell_angle_gamma 90.00
_space_group_name_H-M_alt 'P 1'
_space_group_IT_number 1
loop_
_space_group_symop_operation_xyz
'x,y,z'
loop_
_atom_site_label
_atom_site_fract_x
_atom_site_fract_y
_atom_site_fract_z
Sr1 0.000 0.000 0.000
Sr2 0.500 0.500 0.000
Ac1 0.000 0.500 0.500
Cu1 0.500 0.000 0.500
O1 0.236 0.000 0.756
O2 0.245 0.500 0.252
O3 0.755 0.500 0.748
O4 0.764 0.000 0.244
# E   -6.15 eV/atom
# ΔE_f (raw)   -2.2240 eV/atom

---

No. 9
# MnCu2Sb | Alexandria | GGA-PBE | relaxed
data_MnCu2Sb
_cell_length_a 4.649
_cell_length_b 4.649
_cell_length_c 4.741
_cell_angle_alpha 99.43
_cell_angle_beta 99.43
_cell_angle_gamma 38.98
_space_group_name_H-M_alt 'P 1'
_space_group_IT_number 1
loop_
_space_group_symop_operation_xyz
'x,y,z'
loop_
_atom_site_label
_atom_site_fract_x
_atom_site_fract_y
_atom_site_fract_z
Mn1 0.000 0.000 0.000
Cu1 0.257 0.257 0.784
Cu2 0.743 0.743 0.216
Sb1 0.500 0.500 0.500
# DOS(E_F)   1.99 states/eV/cell
# E   -5.17 eV/atom
# ΔE_f (raw)   0.2025 eV/atom

---

No. 10
# Hg4AsRh | Alexandria | GGA-PBE | relaxed
data_Hg4AsRh
_cell_length_a 5.679
_cell_length_b 5.679
_cell_length_c 5.679
_cell_angle_alpha 60.00
_cell_angle_beta 60.00
_cell_angle_gamma 60.00
_space_group_name_H-M_alt 'P 1'
_space_group_IT_number 1
loop_
_space_group_symop_operation_xyz
'x,y,z'
loop_
_atom_site_label
_atom_site_fract_x
_atom_site_fract_y
_atom_site_fract_z
Hg1 0.125 0.125 0.125
Hg2 0.125 0.125 0.626
Hg3 0.125 0.626 0.125
Hg4 0.626 0.125 0.125
As1 0.500 0.500 0.500
Rh1 0.750 0.750 0.750
# DOS(E_F)   0.62 states/eV/cell
# E   -1.62 eV/atom
# ΔE_f   582.6 meV per atom

---

No. 11
# Ni2AgC2 | Alexandria | GGA-PBE | relaxed
data_Ni2AgC2
_cell_length_a 6.336
_cell_length_b 6.336
_cell_length_c 2.851
_cell_angle_alpha 90.00
_cell_angle_beta 90.00
_cell_angle_gamma 90.00
_space_group_name_H-M_alt 'P 1'
_space_group_IT_number 1
loop_
_space_group_symop_operation_xyz
'x,y,z'
loop_
_atom_site_label
_atom_site_fract_x
_atom_site_fract_y
_atom_site_fract_z
Ni1 0.210 0.290 0.000
Ni2 0.290 0.790 0.000
Ni3 0.710 0.210 0.000
Ni4 0.790 0.710 0.000
Ag1 0.000 0.000 0.500
Ag2 0.500 0.500 0.500
C1 0.076 0.424 0.500
C2 0.424 0.924 0.500
C3 0.576 0.076 0.500
C4 0.924 0.576 0.500
# DOS(E_F)   5.73 states/eV/cell
# E   -5.89 eV/atom
# Energy above the most stable polymorph in this dataset   8 meV/atom
# ΔE_f   685.0 meV per atom

---

No. 12
# Pr2HgF8 | Alexandria | GGA-PBE | relaxed
data_Pr2HgF8
_cell_length_a 7.828
_cell_length_b 7.828
_cell_length_c 5.717
_cell_angle_alpha 109.67
_cell_angle_beta 109.67
_cell_angle_gamma 28.55
_space_group_name_H-M_alt 'P 1'
_space_group_IT_number 1
loop_
_space_group_symop_operation_xyz
'x,y,z'
loop_
_atom_site_label
_atom_site_fract_x
_atom_site_fract_y
_atom_site_fract_z
Pr1 0.175 0.175 0.183
Pr2 0.825 0.825 0.817
Hg1 0.500 0.500 0.500
F1 0.038 0.038 0.309
F2 0.219 0.219 0.825
F3 0.321 0.321 0.540
F4 0.404 0.404 0.058
F5 0.596 0.596 0.942
F6 0.679 0.679 0.460
F7 0.781 0.781 0.175
F8 0.962 0.962 0.691
# DOS(E_F)   0.00 states/eV/cell
# E   -5.60 eV/atom
# ΔE_f (raw)   -3.3445 eV/atom

---

Question: Which of these has the lowest E?
Answer: Sr2AcCuO4